An optimized crystal structure of Ta2CdTe, computed with GGA-PBE.

abc: 5.1474 5.1474 5.0246
angles: 82.38 82.38 38.15
With the nearest neighbours (Å) after each atom.
Sites, in units of the cell vectors:
Te: 0.2500 0.2500 0.2500  6 Ta 2.89-3.10, 4 Cd 3.02
Cd: 0.7500 0.7500 0.7500  6 Ta 2.89-3.05, 4 Te 3.02
Ta: 0.4980 0.4980 0.5079  3 Cd 2.89-3.05, 3 Te 2.89-3.10, 4 Ta 2.96-3.09
Ta: 0.0020 0.0020 0.9921  3 Cd 2.89-3.05, 3 Te 2.89-3.10, 4 Ta 2.96-3.09

Properties
Electronic total energy = -6.5372 eV per atom
Excess energy over the best structure of this formula in the dataset = 0.2179 eV per atom
ΔE_f (raw) = 403 meV/atom
Size of the total moment = 0.0 μB per formula unit